Model 1:
A plane-wave DFT calculation with PBE with a Hubbard U was carried out for crystalline Ca2CoO3 at its relaxed geometry.

Cell lengths 6.992, 3.924, 7.000 Å; angles 90.00, 110.22, 90.00 degrees
Space group C2/m (No. 12)
Unique sites:
1 Ca 0.229 0.000 0.185 x4
2 Co 0.000 0.000 0.500 x2
3 O 0.000 0.500 0.500 x2
4 O 0.106 0.000 0.822 x4

- total magnetization (μB/atom) = 0.5000

=====

Model 2:
A plane-wave DFT calculation with PBE with a Hubbard U was carried out for crystalline Ca2CoO3 at its relaxed geometry.

Cell lengths 4.693, 4.765, 13.750 Å; angles 90.00, 90.00, 90.00 degrees
Space group Fmmm (No. 69)
Unique sites:
1 Ca 0.000 0.000 0.160 x8
2 Co 0.000 0.000 0.500 x4
3 O 0.000 0.000 0.000 x4
4 O 0.000 0.000 0.343 x8

- total magnetization (μB/atom) = 0.4972

=====

Model 3:
A plane-wave DFT calculation with PBE with a Hubbard U was carried out for crystalline Ca2CoO3 at its relaxed geometry.

Cell lengths 3.250, 4.766, 9.796 Å; angles 90.00, 90.00, 90.00 degrees
Space group Immm (No. 71)
Unique sites:
1 Ca 0.000 0.000 0.163 x4
2 Co 0.000 0.000 0.500 x2
3 O 0.000 0.500 0.152 x4
4 O 0.000 0.500 0.500 x2

- total magnetization (μB/atom) = 0.4927

=====

Stability, descending: model 3, model 2, model 1

=====

Model 1:
A plane-wave DFT calculation with PBE with a Hubbard U was carried out for crystalline CaCoP2O at its relaxed geometry.

Cell lengths 5.304, 5.304, 4.142 Å; angles 90.00, 90.00, 90.00 degrees
Space group P4/mmm (No. 123)
Unique sites:
1 Ca 0.000 0.000 0.000 x1
2 Co 0.500 0.500 0.500 x1
3 P 0.000 0.500 0.000 x2
4 O 0.000 0.000 0.500 x1

- total magnetization (μB/atom) = 0.6815

=====

Model 2:
A plane-wave DFT calculation with PBE with a Hubbard U was carried out for crystalline CaCoP2O at its relaxed geometry.

Cell lengths 4.252, 4.252, 4.506 Å; angles 90.00, 90.00, 90.00 degrees
Space group P4/mmm (No. 123)
Unique sites:
1 Ca 0.000 0.000 0.000 x1
2 Co 0.500 0.500 0.500 x1
3 P 0.000 0.500 0.500 x2
4 O 0.500 0.500 0.000 x1

- total magnetization (μB/atom) = 0.2628

=====

Stability, descending: model 2, model 1

=====

Model 1:
A plane-wave DFT calculation with PBE with a Hubbard U was carried out for crystalline CaCoPO2 at its relaxed geometry.

Cell lengths 3.993, 3.993, 4.335 Å; angles 90.00, 90.00, 90.00 degrees
Space group P4/mmm (No. 123)
Unique sites:
1 Ca 0.000 0.000 0.000 x1
2 Co 0.500 0.500 0.500 x1
3 P 0.500 0.500 0.000 x1
4 O 0.000 0.500 0.500 x2

- total magnetization (μB/atom) = 0.4050

=====

Model 2:
A plane-wave DFT calculation with PBE with a Hubbard U was carried out for crystalline CaCoPO2 at its relaxed geometry.

Cell lengths 4.152, 4.152, 5.927 Å; angles 90.00, 90.00, 90.00 degrees
Space group P4/mmm (No. 123)
Unique sites:
1 Ca 0.000 0.000 0.000 x1
2 Co 0.500 0.500 0.500 x1
3 P 0.000 0.000 0.500 x1
4 O 0.000 0.500 0.000 x2

- total magnetization (μB/atom) = 0.9440

=====

Stability, descending: model 1, model 2

=====

Model 1:
A plane-wave DFT calculation with PBE with a Hubbard U was carried out for crystalline SrCaCoP2O8 at its relaxed geometry.

Cell lengths 6.180, 6.974, 10.103 Å; angles 101.19, 106.66, 105.87 degrees
Space group P-1 (No. 2)
Unique sites:
1 Sr 0.025 0.213 0.378 x2
2 Ca 0.259 0.425 0.085 x2
3 Co 0.328 0.873 0.400 x2
4 P 0.128 0.421 0.723 x2
5 P 0.336 0.958 0.174 x2
6 O 0.003 0.175 0.647 x2
7 O 0.092 0.515 0.263 x2
8 O 0.165 0.745 0.069 x2
9 O 0.222 0.520 0.619 x2
10 O 0.225 0.129 0.180 x2
11 O 0.323 0.461 0.869 x2
12 O 0.385 0.138 0.529 x2
13 O 0.402 0.984 0.808 x2

- total magnetization (μB/atom) = 0.1527

=====

Model 2:
A plane-wave DFT calculation with PBE with a Hubbard U was carried out for crystalline SrCaCoP2O8 at its relaxed geometry.

Cell lengths 5.692, 6.970, 9.525 Å; angles 109.28, 101.42, 99.13 degrees
Space group P-1 (No. 2)
Unique sites:
1 Sr 0.237 0.191 0.441 x2
2 Ca 0.496 0.584 0.839 x2
3 Co 0.138 0.849 0.063 x2
4 P 0.109 0.581 0.277 x2
5 P 0.336 0.039 0.801 x2
6 O 0.070 0.410 0.113 x2
7 O 0.117 0.453 0.660 x2
8 O 0.124 0.971 0.872 x2
9 O 0.158 0.800 0.265 x2
10 O 0.231 0.999 0.630 x2
11 O 0.345 0.556 0.378 x2
12 O 0.461 0.089 0.182 x2
13 O 0.473 0.273 0.901 x2

- total magnetization (μB/atom) = 0.2315

=====

Stability, descending: model 2, model 1

=====

Model 1:
A plane-wave DFT calculation with PBE with a Hubbard U was carried out for crystalline Ca2CoSbO6 at its relaxed geometry.

Cell lengths 5.504, 7.687, 5.682 Å; angles 90.00, 90.13, 90.00 degrees
Space group P2_1/m (No. 11)
Unique sites:
1 Ca 0.008 0.250 0.045 x2
2 Ca 0.482 0.250 0.567 x2
3 Co 0.500 0.000 0.000 x2
4 Sb 0.000 0.000 0.500 x2
5 O 0.108 0.750 0.536 x2
6 O 0.191 0.051 0.792 x4
7 O 0.293 0.048 0.305 x4
8 O 0.422 0.750 0.023 x2

- total magnetization (μB/atom) = 0.4001

=====

Model 2:
A plane-wave DFT calculation with PBE with a Hubbard U was carried out for crystalline Ca2CoSbO6 at its relaxed geometry.

Cell lengths 5.427, 5.600, 9.497 Å; angles 90.00, 124.17, 90.00 degrees
Space group P2_1/c (No. 14)
Unique sites:
1 Ca 0.235 0.052 0.249 x4
2 Co 0.000 0.000 0.500 x2
3 Sb 0.500 0.000 0.000 x2
4 O 0.156 0.202 0.950 x4
5 O 0.244 0.703 0.952 x4
6 O 0.348 0.030 0.754 x4

- total magnetization (μB/atom) = 0.3938

=====

Stability, descending: model 2, model 1

=====

Model 1:
A plane-wave DFT calculation with PBE with a Hubbard U was carried out for crystalline Ca3Co2Si4O14 at its relaxed geometry.

Cell lengths 11.234, 11.033, 5.146 Å; angles 90.00, 92.14, 90.00 degrees
Space group Cm (No. 8)
Unique sites:
1 Ca 0.000 0.000 0.000 x2
2 Ca 0.147 0.333 0.991 x4
3 Co 0.397 0.251 0.499 x4
4 Si 0.023 0.500 0.467 x2
5 Si 0.143 0.142 0.537 x4
6 Si 0.298 0.500 0.433 x2
7 O 0.029 0.194 0.706 x4
8 O 0.050 0.500 0.775 x2
9 O 0.123 0.153 0.229 x4
10 O 0.153 0.000 0.645 x2
11 O 0.156 0.500 0.316 x2
12 O 0.256 0.220 0.665 x4
13 O 0.317 0.500 0.742 x2
14 O 0.351 0.381 0.277 x4
15 O 0.461 0.121 0.336 x4

- total magnetization (μB/atom) = 0.3428

=====

Model 2:
A plane-wave DFT calculation with PBE with a Hubbard U was carried out for crystalline Ca3Co2Si4O14 at its relaxed geometry.

Cell lengths 16.985, 7.702, 10.042 Å; angles 90.00, 123.19, 90.00 degrees
Space group C2/c (No. 15)
Unique sites:
1 Ca 0.000 0.152 0.250 x4
2 Ca 0.196 0.466 0.459 x8
3 Co 0.000 0.290 0.750 x4
4 Co 0.000 0.500 0.000 x4
5 Si 0.126 0.164 0.647 x8
6 Si 0.174 0.211 0.155 x8
7 O 0.053 0.102 0.693 x8
8 O 0.064 0.462 0.713 x8
9 O 0.087 0.294 0.496 x8
10 O 0.100 0.341 0.014 x8
11 O 0.164 0.007 0.091 x8
12 O 0.180 0.211 0.320 x8
13 O 0.223 0.231 0.818 x8

- total magnetization (μB/atom) = 0.1773

=====

Stability, descending: model 2, model 1

=====

Model 1:
A plane-wave DFT calculation with PBE with a Hubbard U was carried out for crystalline CaSmCoO4 at its relaxed geometry.

Cell lengths 3.734, 3.734, 11.915 Å; angles 90.00, 90.00, 90.00 degrees
Space group I4mm (No. 107)
Unique sites:
1 Ca 0.000 0.000 0.000 x2
2 Sm 0.000 0.000 0.280 x2
3 Co 0.000 0.000 0.634 x2
4 O 0.000 0.000 0.472 x2
5 O 0.000 0.000 0.807 x2
6 O 0.000 0.500 0.148 x4

- total magnetization (μB/atom) = 0.0000

=====

Model 2:
A plane-wave DFT calculation with PBE with a Hubbard U was carried out for crystalline CaSmCoO4 at its relaxed geometry.

Cell lengths 5.256, 11.942, 5.505 Å; angles 90.00, 90.00, 90.00 degrees
Space group Cmc2_1 (No. 36)
Unique sites:
1 Ca 0.000 0.105 0.000 x4
2 Sm 0.000 0.388 0.037 x4
3 Co 0.000 0.249 0.517 x4
4 O 0.000 0.082 0.572 x4
5 O 0.000 0.425 0.457 x4
6 O 0.250 0.232 0.266 x8

- total magnetization (μB/atom) = 0.2857

=====

Stability, descending: model 2, model 1